The following is a PBE calculation of a relaxed YRePb crystal, from the Alexandria database.

Geometry as POSCAR:
```
YRePb
1.0
0.000 3.439 3.439
3.439 0.000 3.439
3.439 3.439 0.000
Y Re Pb
1 1 1
direct
0.000 0.000 0.000
0.250 0.250 0.250
0.750 0.750 0.750
```

Properties
- volume (Å³ per cell) = 81.3
- E above lowest polymorph (meV/atom) = 927
- total magnetic moment (μB per formula unit) = 0.60
- DOS(E_F) (states/eV per cell) = 6.66